(1)
{
  "formula": "Fe2TeC",
  "functional": "PBE",
  "state": "relaxed",
  "m_tot_mub_per_atom": 0.0000,
  "n_ef_per_ev_atom": 0.81,
  "e_tot_ev_per_cell": -55.0,
  "spacegroup": "No. 122",
  "lattice_angstrom": [[4.856, 0.000, 0.000], [0.000, 4.856, 0.000], [2.428, 2.428, 4.944]],
  "species": ["Fe", "Fe", "Fe", "Fe", "C", "C", "Te", "Te"],
  "frac_coords": [[0.375, 0.490, 0.750], [0.240, 0.625, 0.250], [0.510, 0.125, 0.250], [0.875, 0.760, 0.750], [0.500, 0.500, 0.000], [0.250, 0.750, 0.500], [0.000, 0.000, 0.000], [0.750, 0.250, 0.500]]
}



(2)
{
  "formula": "Pr2Pa2Se7",
  "functional": "PBE",
  "state": "relaxed",
  "m_tot_mub_per_atom": 0.1725,
  "n_ef_per_ev_atom": 0.64,
  "e_tot_ev_per_cell": -70.6,
  "spacegroup": "No. 44",
  "lattice_angstrom": [[4.139, 0.000, 0.000], [2.070, 8.800, -0.064], [2.070, 4.117, 7.778]],
  "species": ["Pa", "Pa", "Se", "Se", "Se", "Se", "Se", "Se", "Se", "Pr", "Pr"],
  "frac_coords": [[0.500, 0.334, 0.666], [0.000, 0.782, 0.218], [0.394, 0.712, 0.499], [0.500, 0.013, 0.987], [0.132, 0.153, 0.584], [0.606, 0.501, 0.288], [0.868, 0.416, 0.847], [0.179, 0.705, 0.937], [0.821, 0.063, 0.295], [0.738, 0.850, 0.675], [0.262, 0.325, 0.150]]
}



(3)
{
  "formula": "AcHgAsO4",
  "functional": "PBE",
  "state": "relaxed",
  "m_tot_mub_per_atom": 0.0000,
  "n_ef_per_ev_atom": 0.00,
  "e_tot_ev_per_cell": -85.0,
  "spacegroup": "No. 12",
  "lattice_angstrom": [[6.838, 0.564, -0.424], [2.797, 6.265, -0.424], [1.519, 1.077, 7.001]],
  "species": ["O", "O", "O", "O", "O", "O", "O", "O", "Hg", "Hg", "Ac", "Ac", "As", "As"],
  "frac_coords": [[0.508, 0.127, 0.136], [0.714, 0.714, 0.510], [0.492, 0.873, 0.864], [0.503, 0.503, 0.252], [0.286, 0.286, 0.490], [0.873, 0.492, 0.864], [0.497, 0.497, 0.748], [0.127, 0.508, 0.136], [0.027, 0.027, 0.267], [0.973, 0.973, 0.733], [0.708, 0.708, 0.178], [0.292, 0.292, 0.822], [0.358, 0.358, 0.264], [0.642, 0.642, 0.736]]
}



(4)
{
  "formula": "TmPuCl",
  "functional": "PBE",
  "state": "relaxed",
  "m_tot_mub_per_atom": 1.9754,
  "n_ef_per_ev_atom": 2.64,
  "e_tot_ev_per_cell": -45.7,
  "spacegroup": "No. 187",
  "lattice_angstrom": [[-0.117, -1.719, -2.995], [-0.958, -1.564, 2.928], [-13.601, 4.496, -2.050]],
  "species": ["Cl", "Cl", "Pu", "Pu", "Tm", "Tm"],
  "frac_coords": [[0.000, 0.000, 0.664], [0.000, 0.000, 0.336], [0.000, 0.000, 0.000], [0.333, 0.667, 0.500], [0.333, 0.667, 0.809], [0.333, 0.667, 0.191]]
}



(5)
{
  "formula": "Tb6Co2Ni",
  "functional": "PBE",
  "state": "relaxed",
  "m_tot_mub_per_atom": 0.0003,
  "n_ef_per_ev_atom": 1.07,
  "formation_energy_kj_per_mol_fu": -155.2,
  "e_tot_ev_per_cell": -98.8,
  "spacegroup": "No. 71",
  "lattice_angstrom": [[-6.765, 2.125, -4.097], [5.566, -3.038, -5.183], [-1.731, -5.765, 5.553]],
  "species": ["Tb", "Tb", "Tb", "Tb", "Tb", "Tb", "Tb", "Tb", "Tb", "Tb", "Tb", "Tb", "Co", "Co", "Co", "Co", "Ni", "Ni"],
  "frac_coords": [[0.815, 0.751, 0.566], [0.316, 0.990, 0.674], [0.556, 0.732, 0.824], [0.444, 0.268, 0.176], [0.908, 0.732, 0.176], [0.684, 0.010, 0.326], [0.185, 0.249, 0.434], [0.092, 0.268, 0.824], [0.316, 0.642, 0.326], [0.185, 0.751, 0.935], [0.684, 0.358, 0.674], [0.815, 0.249, 0.065], [0.672, 0.000, 0.672], [0.500, 0.615, 0.115], [0.500, 0.385, 0.885], [0.328, 0.000, 0.328], [0.000, 0.000, 0.000], [0.000, 0.500, 0.500]]
}



(6)
{
  "formula": "Sc2PbC",
  "functional": "PBE",
  "state": "relaxed",
  "m_tot_mub_per_atom": 0.0000,
  "n_ef_per_ev_atom": 1.04,
  "formation_energy_kj_per_mol_fu": -133.3,
  "e_tot_ev_per_cell": -27.0,
  "spacegroup": "No. 166",
  "lattice_angstrom": [[1.974, 0.000, 8.426], [-0.987, 1.710, 8.426], [-0.987, -1.710, 8.426]],
  "species": ["Sc", "Sc", "C", "Pb"],
  "frac_coords": [[0.120, 0.120, 0.120], [0.880, 0.880, 0.880], [0.500, 0.500, 0.500], [0.000, 0.000, 0.000]]
}